Here is an optimized crystal structure of Ca2Pr2Cd3 from Alexandria. Energies are from PBE.

Cell and atoms, written as POSCAR:
```
Ca2Pr2Cd3
1.0
-0.228 -4.553 -2.928
-2.334 0.193 4.894
-6.559 5.701 -3.360
Ca Pr Cd
2 2 3
Direct
0.257 0.129 0.385 Ca
0.743 0.871 0.615 Ca
0.761 0.381 0.142 Pr
0.239 0.619 0.858 Pr
0.000 0.000 0.000 Cd
0.508 0.254 0.762 Cd
0.492 0.746 0.238 Cd
```

Summary:
space-group type: P-1, No. 2
magnetic moment: 0.000 Bohr magnetons per cell
E_form: -0.23 eV per atom
DOS at the Fermi energy: 6.9 states/eV per cell
volume: 223.6 Å³ per cell